No. 1
DFT (GGA-PBE) results for a relaxed structure of ThI.

The structure in extended XYZ format:
```
2
Lattice="0.000 3.546 3.546 3.546 0.000 3.546 3.546 3.546 0.000" Properties=species:S:1:pos:R:3 pbc="T T T"
Th 0.000 0.000 0.000
I 1.773 1.773 1.773
```

Computed properties:
- final energy (eV/atom) = -4.027

No. 2
DFT (GGA-PBE) results for a relaxed structure of Tm3Ga8Ag3.

The structure in extended XYZ format:
```
14
Lattice="-2.172 4.760 6.400 2.172 -4.760 6.400 2.172 4.760 -6.400" Properties=species:S:1:pos:R:3 pbc="T T T"
Tm 0.000 0.000 0.000
Tm 0.000 0.000 3.788
Tm 0.000 0.000 9.011
Ga 2.172 -1.250 2.024
Ga 2.172 -2.078 4.580
Ga 2.172 1.250 2.024
Ga 0.000 2.683 1.820
Ga 2.172 2.078 4.580
Ga 0.000 3.511 4.375
Ga 0.000 6.838 1.820
Ga 0.000 6.010 4.375
Ag 2.172 2.960 0.000
Ag 0.000 4.760 0.000
Ag 0.000 1.800 6.400
```

Computed properties:
- final energy (eV/atom) = -3.714

No. 3
DFT (GGA-PBE) results for a relaxed structure of LuAsPbO.

The structure in extended XYZ format:
```
8
Lattice="4.971 0.000 0.000 0.000 6.665 0.000 0.000 0.000 6.295" Properties=species:S:1:pos:R:3 pbc="T T T"
Lu 0.000 0.927 0.000
Lu 0.000 5.739 3.148
As 2.485 1.908 5.607
As 2.485 4.757 2.460
Pb 2.485 1.824 2.484
Pb 2.485 4.841 5.631
O 0.000 0.840 2.073
O 0.000 5.826 5.221
```

Computed properties:
- polymorph energy (0 for the lowest one) (meV per atom) = 20

No. 4
DFT (GGA-PBE) results for a relaxed structure of AlNi2W.

The structure in extended XYZ format:
```
4
Lattice="0.000 2.949 2.949 2.949 0.000 2.949 2.949 2.949 0.000" Properties=species:S:1:pos:R:3 pbc="T T T"
Al 0.000 0.000 0.000
Ni 2.949 2.949 2.949
Ni 4.424 4.424 4.424
W 1.475 1.475 1.475
```

Computed properties:
- final energy (eV/atom) = -6.962

Number 1: size of the total moment 0.9 μB/f.u.. Number 2: size of the total moment 0.0 μB/f.u.. Number 3: size of the total moment 0.0 μB/f.u.. Number 4: size of the total moment 0.0 μB/f.u..